Record 1
The following is a DFT calculation (PBE-GGA) of CaGa2Ge2 after structural relaxation.

## Properties
DFT formation energy: -0.15 eV/atom
Magnetic moment: 0.00 μB/f.u.
Space-group type: R-3m
Crystal system: trigonal
Calculated volume: 26.402 Å³ per atom

Cell lengths 4.1733, 4.1733, 26.2576 Å; angles 90.00, 90.00, 120.00 degrees
Fractional positions:
Ca 0.0000 0.0000 0.0000
Ca 0.3333 0.6667 0.6667
Ca 0.6667 0.3333 0.3333
Ga 0.0000 0.0000 0.2368
Ga 0.0000 0.0000 0.7632
Ga 0.3333 0.6667 0.4299
Ga 0.3333 0.6667 0.9034
Ga 0.6667 0.3333 0.0966
Ga 0.6667 0.3333 0.5701
Ge 0.0000 0.0000 0.4120
Ge 0.0000 0.0000 0.5880
Ge 0.3333 0.6667 0.0787
Ge 0.3333 0.6667 0.2546
Ge 0.6667 0.3333 0.7454
Ge 0.6667 0.3333 0.9213

---

Record 2
The following is a DFT calculation (PBE-GGA) of KYMn2 after structural relaxation.

## Properties
Energy above the most stable polymorph in this dataset: 441 meV/atom
DFT formation energy: 0.92 eV/atom
Magnetic moment: 6.97 μB/f.u.
Space-group type: Fm-3m
Crystal system: cubic
Calculated volume: 25.754 Å³ per atom

Cell lengths 7.4414, 7.4414, 7.4414 Å; angles 90.00, 90.00, 90.00 degrees
Fractional positions:
K 0.0000 0.0000 0.0000
K 0.0000 0.5000 0.5000
K 0.5000 0.0000 0.5000
K 0.5000 0.5000 0.0000
Y 0.0000 0.0000 0.5000
Y 0.0000 0.5000 0.0000
Y 0.5000 0.0000 0.0000
Y 0.5000 0.5000 0.5000
Mn 0.2500 0.2500 0.2500
Mn 0.2500 0.2500 0.7500
Mn 0.2500 0.7500 0.2500
Mn 0.2500 0.7500 0.7500
Mn 0.7500 0.2500 0.2500
Mn 0.7500 0.2500 0.7500
Mn 0.7500 0.7500 0.2500
Mn 0.7500 0.7500 0.7500

---

Record 3
The following is a DFT calculation (PBE-GGA) of ZrAs3O after structural relaxation.

## Properties
Energy above the most stable polymorph in this dataset: 0 meV/atom
Formation energy from raw total energies: -0.26 eV per atom
Magnetic moment: 0.00 μB/f.u.
Space-group type: Pm-3m
Crystal system: cubic
Calculated volume: 16.967 Å³ per atom

Cell lengths 4.3940, 4.3940, 4.3940 Å; angles 90.00, 90.00, 90.00 degrees
Fractional positions:
Zr 0.0000 0.0000 0.0000
As 0.0000 0.5000 0.5000
As 0.5000 0.0000 0.5000
As 0.5000 0.5000 0.0000
O 0.5000 0.5000 0.5000

---

Record 4
The following is a DFT calculation (PBE-GGA) of LaTlNi after structural relaxation.

## Properties
DFT formation energy: -0.25 eV/atom
Magnetic moment: 0.00 μB/f.u.
Space-group type: P-6m2
Crystal system: hexagonal
Calculated volume: 24.444 Å³ per atom

Cell lengths 4.6623, 4.6623, 3.8956 Å; angles 90.00, 90.00, 120.00 degrees
Fractional positions:
La 0.0000 0.0000 0.0000
Tl 0.3333 0.6667 0.5000
Ni 0.6667 0.3333 0.5000

---

Record 5
The following is a DFT calculation (PBE-GGA) of NpAg2Cl7 after structural relaxation.

## Properties
Formation energy from raw total energies: -0.93 eV per atom
Magnetic moment: 2.38 μB/f.u.
Space-group type: C2/c
Crystal system: monoclinic
Calculated volume: 25.369 Å³ per atom

Cell lengths 8.1866, 8.1866, 9.5216 Å; angles 105.58, 105.58, 56.61 degrees
Fractional positions:
Np 0.0113 0.9887 0.7500
Np 0.9887 0.0113 0.2500
Ag 0.3293 0.3315 0.2360
Ag 0.3315 0.3293 0.7360
Ag 0.6685 0.6707 0.2640
Ag 0.6707 0.6685 0.7640
Cl 0.0197 0.3527 0.2709
Cl 0.0681 0.7794 0.4647
Cl 0.0930 0.6514 0.1162
Cl 0.2206 0.9319 0.0353
Cl 0.3486 0.9070 0.3838
Cl 0.3527 0.0197 0.7709
Cl 0.3898 0.6102 0.7500
Cl 0.6102 0.3898 0.2500
Cl 0.6473 0.9803 0.2291
Cl 0.6514 0.0930 0.6162
Cl 0.7794 0.0681 0.9647
Cl 0.9070 0.3486 0.8838
Cl 0.9319 0.2206 0.5353
Cl 0.9803 0.6473 0.7291

---

Record 6
The following is a DFT calculation (PBE-GGA) of CsYBi2 after structural relaxation.

## Properties
Energy above the most stable polymorph in this dataset: 0 meV/atom
DFT formation energy: -0.51 eV/atom
Magnetic moment: 0.00 μB/f.u.
Space-group type: P4/mmm
Crystal system: tetragonal
Calculated volume: 38.129 Å³ per atom

Cell lengths 4.2450, 4.2450, 8.4636 Å; angles 90.00, 90.00, 90.00 degrees
Fractional positions:
Cs 0.0000 0.0000 0.0000
Y 0.0000 0.0000 0.5000
Bi 0.5000 0.5000 0.3177
Bi 0.5000 0.5000 0.6823

---

Record 7
The following is a DFT calculation (PBE-GGA) of CoSiMoIr after structural relaxation.

## Properties
Formation energy from raw total energies: -0.24 eV per atom
Magnetic moment: 0.00 μB/f.u.
Space-group type: F-43m
Crystal system: cubic
Calculated volume: 13.078 Å³ per atom

Cell lengths 5.9368, 5.9368, 5.9368 Å; angles 90.00, 90.00, 90.00 degrees
Fractional positions:
Co 0.0000 0.0000 0.0000
Co 0.0000 0.5000 0.5000
Co 0.5000 0.0000 0.5000
Co 0.5000 0.5000 0.0000
Si 0.0000 0.0000 0.5000
Si 0.0000 0.5000 0.0000
Si 0.5000 0.0000 0.0000
Si 0.5000 0.5000 0.5000
Mo 0.2500 0.2500 0.2500
Mo 0.2500 0.7500 0.7500
Mo 0.7500 0.2500 0.7500
Mo 0.7500 0.7500 0.2500
Ir 0.2500 0.2500 0.7500
Ir 0.2500 0.7500 0.2500
Ir 0.7500 0.2500 0.2500
Ir 0.7500 0.7500 0.7500

---

Record 8
The following is a DFT calculation (PBE-GGA) of Y2CrOs after structural relaxation.

## Properties
Energy above the most stable polymorph in this dataset: 0 meV/atom
DFT formation energy: 0.04 eV/atom
Magnetic moment: 0.00 μB/f.u.
Space-group type: R3m
Crystal system: trigonal
Calculated volume: 25.373 Å³ per atom

Cell lengths 3.9826, 3.9826, 22.1662 Å; angles 90.00, 90.00, 120.00 degrees
Fractional positions:
Y 0.0000 0.0000 0.0000
Y 0.0000 0.0000 0.1866
Y 0.3333 0.6667 0.6667
Y 0.3333 0.6667 0.8533
Y 0.6667 0.3333 0.3333
Y 0.6667 0.3333 0.5200
Cr 0.0000 0.0000 0.7532
Cr 0.3333 0.6667 0.4199
Cr 0.6667 0.3333 0.0865
Os 0.0000 0.0000 0.4340
Os 0.3333 0.6667 0.1007
Os 0.6667 0.3333 0.7673

---

Record 9
The following is a DFT calculation (PBE-GGA) of Li2AlO after structural relaxation.

## Properties
Energy above the most stable polymorph in this dataset: 545 meV/atom
Formation energy from raw total energies: -0.21 eV per atom
Magnetic moment: 0.00 μB/f.u.
Space-group type: Fm-3m
Crystal system: cubic
Calculated volume: 13.375 Å³ per atom

Cell lengths 5.9814, 5.9814, 5.9814 Å; angles 90.00, 90.00, 90.00 degrees
Fractional positions:
Li 0.2500 0.2500 0.2500
Li 0.2500 0.2500 0.7500
Li 0.2500 0.7500 0.2500
Li 0.2500 0.7500 0.7500
Li 0.7500 0.2500 0.2500
Li 0.7500 0.2500 0.7500
Li 0.7500 0.7500 0.2500
Li 0.7500 0.7500 0.7500
Al 0.0000 0.0000 0.0000
Al 0.0000 0.5000 0.5000
Al 0.5000 0.0000 0.5000
Al 0.5000 0.5000 0.0000
O 0.0000 0.0000 0.5000
O 0.0000 0.5000 0.0000
O 0.5000 0.0000 0.0000
O 0.5000 0.5000 0.5000

---

Record 10
The following is a DFT calculation (PBE-GGA) of DyGaH after structural relaxation.

## Properties
Energy above the most stable polymorph in this dataset: 476 meV/atom
Magnetic moment: 0.00 μB/f.u.
Space-group type: I4mm
Crystal system: tetragonal
Calculated volume: 17.584 Å³ per atom

Cell lengths 3.1107, 3.1107, 10.9027 Å; angles 90.00, 90.00, 90.00 degrees
Fractional positions:
Dy 0.0000 0.0000 0.0000
Dy 0.5000 0.5000 0.5000
Ga 0.0000 0.0000 0.2791
Ga 0.5000 0.5000 0.7791
H 0.0000 0.0000 0.5462
H 0.5000 0.5000 0.0462

---

Record 11
The following is a DFT calculation (PBE-GGA) of BaNi2Ru after structural relaxation.

## Properties
Energy above the most stable polymorph in this dataset: 0 meV/atom
DFT formation energy: 0.11 eV/atom
Magnetic moment: 1.58 μB/f.u.
Space-group type: R-3m
Crystal system: trigonal
Calculated volume: 21.443 Å³ per atom

Cell lengths 4.2216, 4.2216, 16.6712 Å; angles 90.00, 90.00, 120.00 degrees
Fractional positions:
Ba 0.0000 0.0000 0.0000
Ba 0.3333 0.6667 0.6667
Ba 0.6667 0.3333 0.3333
Ni 0.0000 0.0000 0.1844
Ni 0.0000 0.0000 0.8156
Ni 0.3333 0.6667 0.4822
Ni 0.3333 0.6667 0.8511
Ni 0.6667 0.3333 0.1489
Ni 0.6667 0.3333 0.5178
Ru 0.0000 0.0000 0.5000
Ru 0.3333 0.6667 0.1667
Ru 0.6667 0.3333 0.8333

---

Record 12
The following is a DFT calculation (PBE-GGA) of La3Pm4Th after structural relaxation.

## Properties
DFT formation energy: 0.20 eV/atom
Magnetic moment: 0.00 μB/f.u.
Space-group type: C2/m
Crystal system: monoclinic
Calculated volume: 35.482 Å³ per atom

Cell lengths 25.8606, 3.5106, 6.2773 Å; angles 90.00, 95.01, 90.00 degrees
Fractional positions:
La 0.0000 0.0000 0.0000
La 0.1444 0.0000 0.2478
La 0.3556 0.5000 0.7522
La 0.5000 0.5000 0.0000
La 0.6444 0.5000 0.2478
La 0.8556 0.0000 0.7522
Pm 0.1060 0.0000 0.7305
Pm 0.2224 0.5000 0.7389
Pm 0.2776 0.0000 0.2611
Pm 0.3940 0.5000 0.2695
Pm 0.6060 0.5000 0.7305
Pm 0.7224 0.0000 0.7389
Pm 0.7776 0.5000 0.2611
Pm 0.8940 0.0000 0.2695
Th 0.0000 0.5000 0.5000
Th 0.5000 0.0000 0.5000

---

Record 13
The following is a DFT calculation (PBE-GGA) of TbHoInPt after structural relaxation.

## Properties
DFT formation energy: -0.75 eV/atom
Magnetic moment: 0.00 μB/f.u.
Space-group type: F-43m
Crystal system: cubic
Calculated volume: 23.851 Å³ per atom

Cell lengths 7.2534, 7.2534, 7.2534 Å; angles 90.00, 90.00, 90.00 degrees
Fractional positions:
Tb 0.0000 0.0000 0.0000
Tb 0.0000 0.5000 0.5000
Tb 0.5000 0.0000 0.5000
Tb 0.5000 0.5000 0.0000
Ho 0.0000 0.0000 0.5000
Ho 0.0000 0.5000 0.0000
Ho 0.5000 0.0000 0.0000
Ho 0.5000 0.5000 0.5000
In 0.2500 0.2500 0.2500
In 0.2500 0.7500 0.7500
In 0.7500 0.2500 0.7500
In 0.7500 0.7500 0.2500
Pt 0.2500 0.2500 0.7500
Pt 0.2500 0.7500 0.2500
Pt 0.7500 0.2500 0.2500
Pt 0.7500 0.7500 0.7500